VASP calculation (PBE) on a geometry-optimized Dy6MgCo2 structure.

The space group is C2/m (No. 12) and the conventional cell measures 10.8642, 4.6722 and 9.4287 Å, with angles of 90.00, 105.54 and 90.00 degrees. The asymmetric unit holds Dy at (0.0241, 0.0000, 0.3457), Dy at (0.1689, 0.5000, 0.8700), Dy at (0.2233, 0.5000, 0.3462), Mg at (0.0000, 0.0000, 0.0000) and Co at (0.1057, 0.5000, 0.5747).

As for the magnetic moment: 0.00 μB/cell. The formation enthalpy at 0 K comes out at -0.02 eV per atom.



VASP calculation (PBE) on a geometry-optimized NbAs2RhSe structure.

The space group is P4/mmm (No. 123) and the conventional cell measures 4.6819, 4.6819 and 4.8976 Å, with angles of 90.00, 90.00 and 90.00 degrees. The asymmetric unit holds Nb at (0.0000, 0.0000, 0.0000), As at (0.0000, 0.5000, 0.5000), Rh at (0.5000, 0.5000, 0.5000) and Se at (0.5000, 0.5000, 0.0000).

As for the magnetic moment: 0.00 μB/cell. Its formation energy without anion corrections is 0.695 eV per atom.



VASP calculation (PBE) on a geometry-optimized Be4AsRh structure.

The space group is F-43m (No. 216) and the conventional cell measures 6.2995, 6.2995 and 6.2995 Å, with angles of 90.00, 90.00 and 90.00 degrees. The asymmetric unit holds Be at (0.1223, 0.1223, 0.1223), As at (0.0000, 0.0000, 0.5000) and Rh at (0.2500, 0.2500, 0.7500).

As for the magnetic moment: 0.00 μB/cell. The formation enthalpy at 0 K comes out at -0.16 eV per atom.



Question: Which formula does entry 1 have?
Answer: Dy6MgCo2



Question: Which value of magnetic moment does entry 2 give?
Answer: 0.00 μB/cell